{
  "formula": "MnSb3C",
  "functional": "PBE",
  "state": "relaxed",
  "e_above_lowest_polymorph_mev_per_atom": 0.0,
  "spacegroup": "Pm-3m, No. 221",
  "m_tot_mub_per_fu": 0.01,
  "formation_energy_uncorrected_ev_per_atom": 1.44,
  "lattice": [[4.6254, 0.0000, 0.0000], [0.0000, 4.6254, 0.0000], [0.0000, 0.0000, 4.6254]],
  "species": ["Sb", "Sb", "Sb", "Mn", "C"],
  "frac_coords": [[0.0000, 0.5000, 0.0000], [0.0000, 0.0000, 0.5000], [0.5000, 0.0000, 0.0000], [0.5000, 0.5000, 0.5000], [0.0000, 0.0000, 0.0000]]
}

***

{
  "formula": "Mn2SbC",
  "functional": "PBE",
  "state": "relaxed",
  "spacegroup": "Fm-3m, No. 225",
  "m_tot_mub_per_fu": 3.55,
  "formation_energy_uncorrected_ev_per_atom": 1.25,
  "lattice": [[0.0000, 2.9255, 2.9255], [2.9255, 0.0000, 2.9255], [2.9255, 2.9255, 0.0000]],
  "species": ["Mn", "Mn", "Sb", "C"],
  "frac_coords": [[0.7500, 0.7500, 0.7500], [0.2500, 0.2500, 0.2500], [0.5000, 0.5000, 0.5000], [0.0000, 0.0000, 0.0000]]
}

***

{
  "formula": "MnSbC2",
  "functional": "PBE",
  "state": "relaxed",
  "spacegroup": "I-42d, No. 122",
  "m_tot_mub_per_fu": 0.00,
  "formation_energy_uncorrected_ev_per_atom": 0.98,
  "lattice": [[-3.5655, 2.7932, -1.4094], [-0.9516, -3.0039, -3.5458], [-5.2845, -2.5242, 0.3836]],
  "species": ["C", "C", "C", "C", "Sb", "Sb", "Mn", "Mn"],
  "frac_coords": [[0.3750, 0.4493, 0.7500], [0.1993, 0.6250, 0.2500], [0.5507, 0.1250, 0.2500], [0.8750, 0.8007, 0.7500], [0.0000, 0.0000, 0.0000], [0.7500, 0.2500, 0.5000], [0.2500, 0.7500, 0.5000], [0.5000, 0.5000, 0.0000]]
}

***

{
  "formula": "MnSb3C",
  "functional": "PBE",
  "state": "relaxed",
  "e_above_lowest_polymorph_mev_per_atom": 94.4,
  "spacegroup": "Pm-3m, No. 221",
  "m_tot_mub_per_fu": 0.13,
  "formation_energy_uncorrected_ev_per_atom": 1.53,
  "lattice": [[4.8907, 0.0000, 0.0000], [0.0000, 4.8907, 0.0000], [0.0000, 0.0000, 4.8907]],
  "species": ["C", "Sb", "Sb", "Sb", "Mn"],
  "frac_coords": [[0.5000, 0.5000, 0.5000], [0.5000, 0.0000, 0.0000], [0.0000, 0.0000, 0.5000], [0.0000, 0.5000, 0.0000], [0.0000, 0.0000, 0.0000]]
}

***

{
  "formula": "ScMn2SbC",
  "functional": "PBE",
  "state": "relaxed",
  "spacegroup": "P4/mmm, No. 123",
  "m_tot_mub_per_fu": 4.99,
  "formation_energy_uncorrected_ev_per_atom": -0.19,
  "lattice": [[3.9960, 0.0000, 0.0000], [0.0000, 3.9960, 0.0000], [0.0000, 0.0000, 4.6118]],
  "species": ["Mn", "Mn", "Sc", "Sb", "C"],
  "frac_coords": [[0.0000, 0.5000, 0.0000], [0.5000, 0.0000, 0.0000], [0.0000, 0.0000, 0.5000], [0.5000, 0.5000, 0.5000], [0.0000, 0.0000, 0.0000]]
}

***

{
  "formula": "Mn2TcSbC",
  "functional": "PBE",
  "state": "relaxed",
  "spacegroup": "P4/mmm, No. 123",
  "m_tot_mub_per_fu": 2.25,
  "formation_energy_uncorrected_ev_per_atom": 0.10,
  "lattice": [[-2.2785, -2.0847, -2.4015], [0.1795, -3.0340, 2.4633], [-3.3725, 1.4069, 1.9786]],
  "species": ["Tc", "Sb", "C", "Mn", "Mn"],
  "frac_coords": [[0.0000, 0.0000, 0.5000], [0.5000, 0.5000, 0.5000], [0.0000, 0.0000, 0.0000], [0.0000, 0.5000, 0.0000], [0.5000, 0.0000, 0.0000]]
}

***

{
  "formula": "Ti2MnSbC",
  "functional": "PBE",
  "state": "relaxed",
  "spacegroup": "P4/mmm, No. 123",
  "m_tot_mub_per_fu": 2.02,
  "formation_energy_uncorrected_ev_per_atom": -0.36,
  "lattice": [[-1.3647, 2.8044, -2.9589], [-3.6841, -2.1843, -0.3710], [-1.5892, 2.2015, 2.8195]],
  "species": ["Sb", "Ti", "Ti", "C", "Mn"],
  "frac_coords": [[0.5000, 0.5000, 0.5000], [0.5000, 0.0000, 0.0000], [0.0000, 0.5000, 0.0000], [0.0000, 0.0000, 0.0000], [0.0000, 0.0000, 0.5000]]
}

***

{
  "formula": "TiMn2SbC",
  "functional": "PBE",
  "state": "relaxed",
  "spacegroup": "P4/mmm, No. 123",
  "m_tot_mub_per_fu": 3.77,
  "formation_energy_uncorrected_ev_per_atom": -0.17,
  "lattice": [[3.9126, 0.0000, 0.0000], [0.0000, 3.9126, 0.0000], [0.0000, 0.0000, 4.3371]],
  "species": ["Mn", "Mn", "Sb", "Ti", "C"],
  "frac_coords": [[0.5000, 0.0000, 0.0000], [0.0000, 0.5000, 0.0000], [0.5000, 0.5000, 0.5000], [0.0000, 0.0000, 0.5000], [0.0000, 0.0000, 0.0000]]
}

***

| no. | VASP energy (eV/atom) |
| --- | --- |
| 1 | -4.72 |
| 2 | -6.68 |
| 3 | -6.95 |
| 4 | -4.62 |
| 5 | -7.79 |
| 6 | -8.31 |
| 7 | -8.02 |
| 8 | -8.09 |